# 1
K4Zr3UTe8 | PBE | relaxed

Structure (CIF):
```
data_K4Zr3UTe8
_chemical_formula_sum 'K12 Zr9 U3 Te24'
_symmetry_space_group_name_H-M 'R -3 m'
_symmetry_Int_Tables_number 166
_symmetry_space_group_name_Hall '-R 3 2"'
_cell_length_a 8.4855
_cell_length_b 8.4855
_cell_length_c 25.2999
_cell_angle_alpha 90.00
_cell_angle_beta 90.00
_cell_angle_gamma 120.00
loop_
_atom_site_label
_atom_site_fract_x
_atom_site_fract_y
_atom_site_fract_z
K1 0.0000 0.0000 0.0000
K2 0.0000 0.5000 0.0000
Zr1 0.0000 0.5000 0.5000
U1 0.0000 0.0000 0.5000
Te1 0.0000 0.0000 0.2343
Te2 0.0112 0.5056 0.7640
```

The total magnetization is 10.35 μB per cell. The calculation puts the total energy at -244.08 eV for the cell shown. The value obtained for the uncorrected formation energy is -0.93 eV per atom.

=====

# 2
Na2Ni2I | PBE | relaxed

Structure (CIF):
```
data_Na2Ni2I
_chemical_formula_sum 'Na4 Ni4 I2'
_symmetry_space_group_name_H-M 'P 4/m b m'
_symmetry_Int_Tables_number 127
_symmetry_space_group_name_Hall '-P 4 2ab'
_cell_length_a 8.152
_cell_length_b 8.152
_cell_length_c 4.011
_cell_angle_alpha 90.00
_cell_angle_beta 90.00
_cell_angle_gamma 90.00
loop_
_atom_site_label
_atom_site_fract_x
_atom_site_fract_y
_atom_site_fract_z
Na1 0.163 0.337 0.000
Ni1 0.095 0.595 0.500
I1 0.000 0.000 0.000
```

The total magnetization is 2.57 μB per cell. The calculation puts the total energy at -26.64 eV for the cell shown. The energy relative to the lowest polymorph listed for this composition is 451 meV per atom. The value obtained for the uncorrected formation energy is 0.49 eV per atom.

=====

# 3
NbCuS2N | PBE | relaxed

Structure (CIF):
```
data_NbCuS2N
_chemical_formula_sum 'Nb1 Cu1 S2 N1'
_symmetry_space_group_name_H-M 'P 4/m m m'
_symmetry_Int_Tables_number 123
_symmetry_space_group_name_Hall '-P 4 2'
_cell_length_a 4.555
_cell_length_b 4.555
_cell_length_c 3.559
_cell_angle_alpha 90.00
_cell_angle_beta 90.00
_cell_angle_gamma 90.00
loop_
_atom_site_label
_atom_site_fract_x
_atom_site_fract_y
_atom_site_fract_z
Nb1 0.000 0.000 0.000
Cu1 0.500 0.500 0.500
S1 0.000 0.500 0.500
N1 0.500 0.500 0.000
```

The total magnetization is 0.01 μB per cell. The calculation puts the total energy at -26.66 eV for the cell shown. The energy relative to the lowest polymorph listed for this composition is 543 meV per atom. The value obtained for the uncorrected formation energy is 0.82 eV per atom.

=====

# 4
Na3Ac2TbO6 | PBE | relaxed

Structure (CIF):
```
data_Na3Ac2TbO6
_chemical_formula_sum 'Na6 Ac4 Tb2 O12'
_symmetry_space_group_name_H-M 'C 1 2/m 1'
_symmetry_Int_Tables_number 12
_symmetry_space_group_name_Hall '-C 2y'
_cell_length_a 6.370
_cell_length_b 11.162
_cell_length_c 6.027
_cell_angle_alpha 90.00
_cell_angle_beta 109.50
_cell_angle_gamma 90.00
loop_
_atom_site_label
_atom_site_fract_x
_atom_site_fract_y
_atom_site_fract_z
Na1 0.000 0.000 0.000
Na2 0.000 0.354 0.000
Ac1 0.000 0.168 0.500
Tb1 0.000 0.500 0.500
O1 0.223 0.345 0.716
O2 0.245 0.500 0.285
```

The total magnetization is 0.00 μB per cell. The calculation puts the total energy at -155.44 eV for the cell shown. The value obtained for the uncorrected formation energy is -2.60 eV per atom.